Entry 1:
DFT (GGA-PBEsol) results for a geometry-optimized CoAu2 structure.

Summary:
The size of the total moment is 0.592 μB per atom. The calculation puts the density at 16.842 g/cm³. The formation energy comes out at 187 meV/atom.

a b c (Å): 2.7904 2.7904 11.4691
angles (deg): 90.00 90.00 90.00
Closest atoms and distances in Å follow each position.
Element x y z (fractional)
Co: 0.0000 0.0000 0.0000  8 Au 2.66, 4 Co 2.79
Co: 0.5000 0.5000 0.5000  8 Au 2.66, 4 Co 2.79
Au: 0.0000 0.0000 0.3450  4 Co 2.66, 8 Au 2.79-2.94
Au: 0.0000 0.0000 0.6550  4 Co 2.66, 8 Au 2.79-2.94
Au: 0.5000 0.5000 0.1550  4 Co 2.66, 8 Au 2.79-2.94
Au: 0.5000 0.5000 0.8450  4 Co 2.66, 8 Au 2.79-2.94

***

Entry 2:
DFT (GGA-PBEsol) results for a geometry-optimized Te2MoW2S4 structure.

Summary:
The size of the total moment is 0.000 μB per atom. The calculation puts the density at 7.530 g/cm³. The calculation puts the uncorrected formation energy at -0.62 eV per atom. As for the energy above the most stable polymorph in this dataset: 2 meV per atom.

a b c (Å): 3.2478 3.2478 20.4491
angles (deg): 90.00 90.00 120.00
Closest atoms and distances in Å follow each position.
Element x y z (fractional)
Te: 0.0000 0.0000 0.0000  3 Mo 2.68
Te: 0.0000 0.0000 0.1866  3 Mo 2.67
Mo: 0.3333 0.6667 0.0934  6 Te 2.67-2.68
W: 0.0000 0.0000 0.7657  6 S 2.42
W: 0.3333 0.6667 0.4628  6 S 2.42
S: 0.0000 0.0000 0.3879  3 W 2.42
S: 0.0000 0.0000 0.5377  3 W 2.42
S: 0.3333 0.6667 0.6908  3 W 2.42
S: 0.3333 0.6667 0.8407  3 W 2.42

***

Entry 3:
DFT (GGA-PBEsol) results for a geometry-optimized MgZn2N2 structure.

Summary:
The size of the total moment is 0.000 μB per atom. The calculation puts the density at 5.605 g/cm³. The calculation puts the uncorrected formation energy at -0.29 eV per atom.

a b c (Å): 3.3126 3.3126 5.7093
angles (deg): 90.00 90.00 120.00
Closest atoms and distances in Å follow each position.
Element x y z (fractional)
Mg: 0.0000 0.0000 0.0000  6 N 2.33
Zn: 0.3333 0.6667 0.6515  3 N 2.02
Zn: 0.6667 0.3333 0.3485  3 N 2.02
N: 0.3333 0.6667 0.2342  3 Zn 2.02
N: 0.6667 0.3333 0.7658  3 Zn 2.02

***

Entry 4:
DFT (GGA-PBEsol) results for a geometry-optimized KBaAsO4 structure.

Summary:
The size of the total moment is 0.000 μB per atom. The calculation puts the density at 4.428 g/cm³. The calculation puts the uncorrected formation energy at -2.08 eV per atom.

a b c (Å): 7.7870 5.8759 10.3392
angles (deg): 90.00 90.00 90.00
Closest atoms and distances in Å follow each position.
Element x y z (fractional)
K: 0.1639 0.2500 0.0775  5 O 2.68-2.95
K: 0.3361 0.7500 0.5775  5 O 2.68-2.95
K: 0.6639 0.2500 0.4225  5 O 2.68-2.95
K: 0.8361 0.7500 0.9225  5 O 2.68-2.95
Ba: 0.0044 0.7500 0.3025  7 O 2.67-2.83
Ba: 0.4956 0.2500 0.8025  7 O 2.67-2.83
Ba: 0.5044 0.7500 0.1975  7 O 2.67-2.83
Ba: 0.9956 0.2500 0.6975  7 O 2.67-2.83
As: 0.2280 0.2500 0.4186  4 O 1.71-1.72
As: 0.2720 0.7500 0.9186  4 O 1.71-1.72
As: 0.7280 0.2500 0.0814  4 O 1.71-1.72
As: 0.7720 0.7500 0.5814  4 O 1.71-1.72
O: 0.0078 0.2500 0.4240  1 As 1.71
O: 0.1897 0.7500 0.0733  1 As 1.72
O: 0.2034 0.5098 0.8404  1 As 1.71
O: 0.2034 0.9902 0.8404  1 As 1.71
O: 0.2966 0.0098 0.3404  1 As 1.71
O: 0.2966 0.4902 0.3404  1 As 1.71
O: 0.3103 0.2500 0.5733  1 As 1.72
O: 0.4922 0.7500 0.9240  1 As 1.71
O: 0.5078 0.2500 0.0760  1 As 1.71
O: 0.6897 0.7500 0.4267  1 As 1.72
O: 0.7034 0.5098 0.6596  1 As 1.71
O: 0.7034 0.9902 0.6596  1 As 1.71
O: 0.7966 0.0098 0.1596  1 As 1.71
O: 0.7966 0.4902 0.1596  1 As 1.71
O: 0.8103 0.2500 0.9267  1 As 1.72
O: 0.9922 0.7500 0.5760  1 As 1.71

***

Entry 5:
DFT (GGA-PBEsol) results for a geometry-optimized LaFeTc2 structure.

Summary:
The size of the total moment is 0.214 μB per atom. The calculation puts the density at 10.020 g/cm³. As for the energy above the most stable polymorph in this dataset: 104 meV per atom. The formation energy comes out at 481 meV/atom.

a b c (Å): 2.7915 4.5963 10.0944
angles (deg): 90.00 90.00 90.00
Closest atoms and distances in Å follow each position.
Element x y z (fractional)
La: 0.0000 0.0000 0.0000  4 Fe 2.69, 2 La 2.79
La: 0.5000 0.5000 0.5000  4 Fe 2.69, 2 La 2.79
Fe: 0.0000 0.0000 0.5000  4 Tc 2.55, 4 La 2.69, 2 Fe 2.79
Fe: 0.5000 0.5000 0.0000  4 Tc 2.55, 4 La 2.69, 2 Fe 2.79
Tc: 0.0000 0.5000 0.2117  2 Fe 2.55, 6 Tc 2.79-2.80
Tc: 0.0000 0.5000 0.7883  2 Fe 2.55, 6 Tc 2.79-2.80
Tc: 0.5000 0.0000 0.2883  2 Fe 2.55, 6 Tc 2.79-2.80
Tc: 0.5000 0.0000 0.7117  2 Fe 2.55, 6 Tc 2.79-2.80

***

Entry 6:
DFT (GGA-PBEsol) results for a geometry-optimized YGaIr structure.

Summary:
The size of the total moment is 0.000 μB per atom. The calculation puts the density at 10.493 g/cm³. The formation energy comes out at -880 meV/atom.

a b c (Å): 6.7618 4.2712 7.6895
angles (deg): 90.00 90.00 90.00
Closest atoms and distances in Å follow each position.
Element x y z (fractional)
Y: 0.0225 0.2500 0.1881  5 Ir 2.85-2.98, 6 Ga 3.07-3.18
Y: 0.4775 0.7500 0.6881  5 Ir 2.85-2.98, 6 Ga 3.07-3.18
Y: 0.5225 0.2500 0.3119  5 Ir 2.85-2.98, 6 Ga 3.07-3.18
Y: 0.9775 0.7500 0.8119  5 Ir 2.85-2.98, 6 Ga 3.07-3.18
Ga: 0.1566 0.2500 0.5692  4 Ir 2.58-2.62
Ga: 0.3434 0.7500 0.0692  4 Ir 2.58-2.62
Ga: 0.6566 0.2500 0.9308  4 Ir 2.58-2.62
Ga: 0.8434 0.7500 0.4308  4 Ir 2.58-2.62
Ir: 0.2282 0.7500 0.3891  4 Ga 2.58-2.62, 1 Y 2.85
Ir: 0.2718 0.2500 0.8891  4 Ga 2.58-2.62, 1 Y 2.85
Ir: 0.7282 0.7500 0.1109  4 Ga 2.58-2.62, 1 Y 2.85
Ir: 0.7718 0.2500 0.6109  4 Ga 2.58-2.62, 1 Y 2.85

***

Entry 7:
DFT (GGA-PBEsol) results for a geometry-optimized K2LiSmCl6 structure.

Summary:
The size of the total moment is 0.000 μB per atom. The calculation puts the density at 2.733 g/cm³. The calculation puts the uncorrected formation energy at -2.04 eV per atom.

a b c (Å): 7.2752 7.2752 7.2752
angles (deg): 60.00 60.00 60.00
Closest atoms and distances in Å follow each position.
Element x y z (fractional)
K: 0.2500 0.2500 0.2500  12 Cl 3.64
K: 0.7500 0.7500 0.7500  12 Cl 3.64
Li: 0.0000 0.0000 0.0000  6 Cl 2.50
Sm: 0.5000 0.5000 0.5000  6 Cl 2.65
Cl: 0.2427 0.2427 0.7573  1 Li 2.50, 1 Sm 2.65
Cl: 0.2427 0.7573 0.2427  1 Li 2.50, 1 Sm 2.65
Cl: 0.2427 0.7573 0.7573  1 Li 2.50, 1 Sm 2.65
Cl: 0.7573 0.2427 0.2427  1 Li 2.50, 1 Sm 2.65
Cl: 0.7573 0.2427 0.7573  1 Li 2.50, 1 Sm 2.65
Cl: 0.7573 0.7573 0.2427  1 Li 2.50, 1 Sm 2.65

***

Entry 8:
DFT (GGA-PBEsol) results for a geometry-optimized GdAl3Pb2O8 structure.

Summary:
The size of the total moment is 0.498 μB per atom. The calculation puts the density at 6.094 g/cm³. The calculation puts the uncorrected formation energy at -2.56 eV per atom.

a b c (Å): 9.4754 9.4754 9.4754
angles (deg): 90.00 90.00 90.00
Closest atoms and distances in Å follow each position.
Element x y z (fractional)
Gd: 0.0000 0.0000 0.0000  8 O 2.28-2.54
Gd: 0.0000 0.5000 0.5000  8 O 2.28-2.54
Gd: 0.5000 0.0000 0.5000  8 O 2.28-2.54
Gd: 0.5000 0.5000 0.0000  8 O 2.28-2.54
Al: 0.0000 0.2500 0.7500  4 O 1.74
Al: 0.0000 0.7500 0.2500  4 O 1.74
Al: 0.2500 0.0000 0.7500  4 O 1.74
Al: 0.2500 0.5000 0.7500  4 O 1.74
Al: 0.2500 0.7500 0.0000  4 O 1.74
Al: 0.2500 0.7500 0.5000  4 O 1.74
Al: 0.5000 0.2500 0.7500  4 O 1.74
Al: 0.5000 0.7500 0.2500  4 O 1.74
Al: 0.7500 0.0000 0.2500  4 O 1.74
Al: 0.7500 0.2500 0.0000  4 O 1.74
Al: 0.7500 0.2500 0.5000  4 O 1.74
Al: 0.7500 0.5000 0.2500  4 O 1.74
Pb: 0.1162 0.1162 0.3838  3 O 2.34
Pb: 0.1162 0.3838 0.1162  3 O 2.34
Pb: 0.3838 0.1162 0.1162  3 O 2.34
Pb: 0.3838 0.3838 0.3838  3 O 2.34
Pb: 0.6162 0.6162 0.6162  3 O 2.34
Pb: 0.6162 0.8838 0.8838  3 O 2.34
Pb: 0.8838 0.6162 0.8838  3 O 2.34
Pb: 0.8838 0.8838 0.6162  3 O 2.34
O: 0.0906 0.0906 0.7642  2 Al 1.74
O: 0.0906 0.4094 0.7358  2 Al 1.74
O: 0.0906 0.7358 0.4094  2 Al 1.74
O: 0.0906 0.7642 0.0906  2 Al 1.74
O: 0.1388 0.1388 0.1388  1 Gd 2.28, 3 Pb 2.34
O: 0.1388 0.3612 0.3612  1 Gd 2.28, 3 Pb 2.34
O: 0.2358 0.5906 0.5906  2 Al 1.74
O: 0.2358 0.9094 0.9094  2 Al 1.74
O: 0.2642 0.5906 0.9094  2 Al 1.74
O: 0.2642 0.9094 0.5906  2 Al 1.74
O: 0.3612 0.1388 0.3612  1 Gd 2.28, 3 Pb 2.34
O: 0.3612 0.3612 0.1388  1 Gd 2.28, 3 Pb 2.34
O: 0.4094 0.0906 0.7358  2 Al 1.74
O: 0.4094 0.4094 0.7642  2 Al 1.74
O: 0.4094 0.7358 0.0906  2 Al 1.74
O: 0.4094 0.7642 0.4094  2 Al 1.74
O: 0.5906 0.2358 0.5906  2 Al 1.74
O: 0.5906 0.2642 0.9094  2 Al 1.74
O: 0.5906 0.5906 0.2358  2 Al 1.74
O: 0.5906 0.9094 0.2642  2 Al 1.74
O: 0.6388 0.6388 0.8612  1 Gd 2.28, 3 Pb 2.34
O: 0.6388 0.8612 0.6388  1 Gd 2.28, 3 Pb 2.34
O: 0.7358 0.0906 0.4094  2 Al 1.74
O: 0.7358 0.4094 0.0906  2 Al 1.74
O: 0.7642 0.0906 0.0906  2 Al 1.74
O: 0.7642 0.4094 0.4094  2 Al 1.74
O: 0.8612 0.6388 0.6388  1 Gd 2.28, 3 Pb 2.34
O: 0.8612 0.8612 0.8612  1 Gd 2.28, 3 Pb 2.34
O: 0.9094 0.2358 0.9094  2 Al 1.74
O: 0.9094 0.2642 0.5906  2 Al 1.74
O: 0.9094 0.5906 0.2642  2 Al 1.74
O: 0.9094 0.9094 0.2358  2 Al 1.74